Arrangement a

The following is a GGA-PBE calculation of a relaxed Tm2Ga3Au2 crystal, from Alexandria.

```
Tm2Ga3Au2
1.0
2.068 -9.436 0.000
2.068 9.436 0.000
0.000 0.000 7.254
Tm Ga Au
4 6 4
Direct
0.057 0.943 0.750
0.155 0.845 0.250
0.845 0.155 0.750
0.943 0.057 0.250
0.228 0.772 0.750
0.445 0.555 0.580
0.445 0.555 0.920
0.555 0.445 0.080
0.555 0.445 0.420
0.772 0.228 0.250
0.318 0.682 0.051
0.318 0.682 0.449
0.682 0.318 0.551
0.682 0.318 0.949
```

Values from the calculation:
Space group: No. 63



Arrangement b

The following is a GGA-PBE calculation of a relaxed Tm2Ga3Au2 crystal, from Alexandria.

```
Tm2Ga3Au2
1.0
5.243 -2.164 0.000
5.243 2.164 0.000
-2.659 0.000 6.124
Tm Ga Au
2 3 2
Direct
0.147 0.147 0.278
0.853 0.853 0.722
0.404 0.404 0.072
0.500 0.500 0.500
0.596 0.596 0.928
0.157 0.157 0.739
0.843 0.843 0.261
```

Values from the calculation:
Space group: No. 12



Q: Which of them is the most stable? A: arrangement b.